# 1
Material: CuSiCl2
Method: DFT, PBE
State: optimized geometry

Calculated values
Space-group type: Pmmm
D(E_F) in states/eV/f.u.: 1.331
ΔE_f (raw) in eV per formula unit: 0.88
Final energy in eV per atom: -3.0827

abc: 3.1790 4.0657 6.0261
angles: 90.00 90.00 90.00
Element x y z (fractional)
1 Cu 0.0000 0.0000 0.0000
2 Si 0.5000 0.0000 0.5000
3 Cl 0.0000 0.5000 0.5000
4 Cl 0.5000 0.5000 0.0000

=====

# 2
Material: Ca3TiSe
Method: DFT, PBE
State: optimized geometry

Calculated values
Space-group type: Pm-3m
D(E_F) in states/eV/f.u.: 4.084
ΔE_f (raw) in eV per formula unit: -0.99
Final energy in eV per atom: -3.6739

abc: 5.5788 5.5788 5.5788
angles: 90.00 90.00 90.00
Element x y z (fractional)
1 Ca 0.0000 0.0000 0.5000
2 Ca 0.0000 0.5000 0.0000
3 Ca 0.5000 0.0000 0.0000
4 Ti 0.5000 0.5000 0.5000
5 Se 0.0000 0.0000 0.0000

=====

# 3
Material: Np3Ge5Ir6
Method: DFT, PBE
State: optimized geometry

Calculated values
Energy of formation from the pure elements in eV/atom: -0.4191
Space-group type: Pmmn
D(E_F) in states/eV/f.u.: 33.929
Final energy in eV per atom: -8.6388

abc: 4.1269 12.5367 9.7765
angles: 90.00 90.00 90.00
Element x y z (fractional)
1 Np 0.2500 0.0853 0.2434
2 Np 0.2500 0.4147 0.2434
3 Np 0.2500 0.7500 0.2498
4 Np 0.7500 0.2500 0.7502
5 Np 0.7500 0.5853 0.7566
6 Np 0.7500 0.9147 0.7566
7 Ge 0.2500 0.0802 0.6476
8 Ge 0.2500 0.4198 0.6476
9 Ge 0.2500 0.6343 0.9831
10 Ge 0.2500 0.7500 0.6462
11 Ge 0.2500 0.8657 0.9831
12 Ge 0.7500 0.1343 0.0169
13 Ge 0.7500 0.2500 0.3538
14 Ge 0.7500 0.3657 0.0169
15 Ge 0.7500 0.5802 0.3524
16 Ge 0.7500 0.9198 0.3524
17 Ir 0.2500 0.0467 0.8953
18 Ir 0.2500 0.2500 0.0034
19 Ir 0.2500 0.2500 0.5083
20 Ir 0.2500 0.4533 0.8953
21 Ir 0.2500 0.5835 0.4962
22 Ir 0.2500 0.9165 0.4962
23 Ir 0.7500 0.0835 0.5038
24 Ir 0.7500 0.4165 0.5038
25 Ir 0.7500 0.5467 0.1047
26 Ir 0.7500 0.7500 0.4917
27 Ir 0.7500 0.7500 0.9966
28 Ir 0.7500 0.9533 0.1047

=====

# 4
Material: LaYSc4
Method: DFT, PBE
State: optimized geometry

Calculated values
Energy of formation from the pure elements in eV/atom: 0.1093
Space-group type: Cmcm
D(E_F) in states/eV/f.u.: 10.721
Final energy in eV per atom: -6.0103

abc: 11.1332 11.1332 9.0212
angles: 90.00 90.00 162.42
Element x y z (fractional)
1 La 0.2336 0.7664 0.7500
2 La 0.7664 0.2336 0.2500
3 Y 0.4073 0.5927 0.2500
4 Y 0.5927 0.4073 0.7500
5 Sc 0.0000 0.0000 0.0000
6 Sc 0.0000 0.0000 0.5000
7 Sc 0.1518 0.8482 0.0669
8 Sc 0.1518 0.8482 0.4331
9 Sc 0.4421 0.5579 0.7500
10 Sc 0.5579 0.4421 0.2500
11 Sc 0.8482 0.1518 0.5669
12 Sc 0.8482 0.1518 0.9331

=====

# 5
Material: Co3Os
Method: DFT, PBE
State: optimized geometry

Calculated values
Energy of formation from the pure elements in eV/atom: 0.1490
Space-group type: Cmmm
D(E_F) in states/eV/f.u.: 6.036
Final energy in eV per atom: -7.9878

abc: 4.4166 4.4166 2.5673
angles: 90.00 90.00 109.63
Element x y z (fractional)
1 Co 0.0000 0.0000 0.0000
2 Co 0.0000 0.5000 0.5000
3 Co 0.5000 0.0000 0.5000
4 Os 0.5000 0.5000 0.0000

=====

# 6
Material: Sr2ReAs
Method: DFT, PBE
State: optimized geometry

Calculated values
Energy of formation from the pure elements in eV/atom: 0.1095
Space-group type: P4mm
D(E_F) in states/eV/f.u.: 2.189
Final energy in eV per atom: -5.0058

abc: 3.4347 3.4347 9.1532
angles: 90.00 90.00 90.00
Element x y z (fractional)
1 Sr 0.0000 0.0000 0.0000
2 Sr 0.5000 0.5000 0.4088
3 Re 0.5000 0.5000 0.7530
4 As 0.0000 0.0000 0.6444

=====

# 7
Material: ReAgIr2
Method: DFT, PBE
State: optimized geometry

Calculated values
Energy of formation from the pure elements in eV/atom: 0.5906
Space-group type: Fm-3m
D(E_F) in states/eV/f.u.: 4.698
Final energy in eV per atom: -7.6648

abc: 4.4493 4.4493 4.4493
angles: 60.00 60.00 60.00
Element x y z (fractional)
1 Re 0.0000 0.0000 0.0000
2 Ag 0.5000 0.5000 0.5000
3 Ir 0.2500 0.2500 0.2500
4 Ir 0.7500 0.7500 0.7500

=====

# 8
Material: CaLaNdMg
Method: DFT, PBE
State: optimized geometry

Calculated values
Energy of formation from the pure elements in eV/atom: -0.0179
Space-group type: P4mm
D(E_F) in states/eV/f.u.: 5.386
Final energy in eV per atom: -3.3407

abc: 3.7254 3.7254 9.8987
angles: 90.00 90.00 90.00
Element x y z (fractional)
1 Ca 0.0000 0.0000 0.0000
2 La 0.0000 0.0000 0.4577
3 Nd 0.5000 0.5000 0.7149
4 Mg 0.5000 0.5000 0.2260

=====

# 9
Material: Cs2ScTiSe4
Method: DFT, PBE
State: optimized geometry

Calculated values
Space-group type: Fddd
D(E_F) in states/eV/f.u.: 3.123
ΔE_f (raw) in eV per formula unit: -10.72
Final energy in eV per atom: -5.0745

abc: 15.1203 13.5262 8.0925
angles: 84.81 62.99 32.21
Element x y z (fractional)
1 Cs 0.0518 0.0518 0.6982
2 Cs 0.3018 0.3018 0.9482
3 Cs 0.6982 0.6982 0.0518
4 Cs 0.9482 0.9482 0.3018
5 Sc 0.1250 0.1250 0.1250
6 Sc 0.8750 0.8750 0.8750
7 Ti 0.3750 0.3750 0.3750
8 Ti 0.6250 0.6250 0.6250
9 Se 0.0080 0.3452 0.4346
10 Se 0.2878 0.5654 0.6548
11 Se 0.3452 0.0080 0.7122
12 Se 0.4346 0.7122 0.0080
13 Se 0.5654 0.2878 0.9920
14 Se 0.6548 0.9920 0.2878
15 Se 0.7122 0.4346 0.3452
16 Se 0.9920 0.6548 0.5654

=====

# 10
Material: LiHf6Pd12
Method: DFT, PBE
State: optimized geometry

Calculated values
Energy of formation from the pure elements in eV/atom: -0.6039
Space-group type: R-3
D(E_F) in states/eV/f.u.: 6.742
Final energy in eV per atom: -7.1275

abc: 6.9249 6.9249 6.9249
angles: 94.56 94.56 94.56
Element x y z (fractional)
1 Li 0.0000 0.0000 0.0000
2 Hf 0.1438 0.7523 0.3132
3 Hf 0.2477 0.6868 0.8562
4 Hf 0.3132 0.1438 0.7523
5 Hf 0.6868 0.8562 0.2477
6 Hf 0.7523 0.3132 0.1438
7 Hf 0.8562 0.2477 0.6868
8 Pd 0.0289 0.1169 0.3509
9 Pd 0.1169 0.3509 0.0289
10 Pd 0.2068 0.4521 0.5233
11 Pd 0.3509 0.0289 0.1169
12 Pd 0.4521 0.5233 0.2068
13 Pd 0.4767 0.7932 0.5479
14 Pd 0.5233 0.2068 0.4521
15 Pd 0.5479 0.4767 0.7932
16 Pd 0.6491 0.9711 0.8831
17 Pd 0.7932 0.5479 0.4767
18 Pd 0.8831 0.6491 0.9711
19 Pd 0.9711 0.8831 0.6491

=====

# 11
Material: Cr2FeAg
Method: DFT, PBE
State: optimized geometry

Calculated values
Energy of formation from the pure elements in eV/atom: 0.5900
Space-group type: Cmmm
D(E_F) in states/eV/f.u.: 5.362
Final energy in eV per atom: -7.0502

abc: 4.7380 4.7380 2.5396
angles: 90.00 90.00 114.23
Element x y z (fractional)
1 Cr 0.0000 0.5000 0.0000
2 Cr 0.5000 0.0000 0.0000
3 Fe 0.0000 0.0000 0.5000
4 Ag 0.5000 0.5000 0.5000

=====

# 12
Material: LaTbGa2Cu2
Method: DFT, PBE
State: optimized geometry

Calculated values
Energy of formation from the pure elements in eV/atom: -0.4756
Space-group type: P-3m1
D(E_F) in states/eV/f.u.: 7.287
Final energy in eV per atom: -4.4429

abc: 4.4084 4.4084 7.5046
angles: 90.00 90.00 120.00
Element x y z (fractional)
1 La 0.0000 0.0000 0.0000
2 Tb 0.0000 0.0000 0.5000
3 Ga 0.3333 0.6667 0.2762
4 Ga 0.6667 0.3333 0.7238
5 Cu 0.3333 0.6667 0.7142
6 Cu 0.6667 0.3333 0.2858

=====

# 13
Material: Cu2Au3
Method: DFT, PBE
State: optimized geometry

Calculated values
Energy of formation from the pure elements in eV/atom: -0.0359
Space-group type: Immm
D(E_F) in states/eV/f.u.: 1.313
Final energy in eV per atom: -3.6408

abc: 7.9278 7.9278 7.9278
angles: 159.25 153.44 33.94
Element x y z (fractional)
1 Cu 0.0963 0.0963 0.0000
2 Cu 0.9037 0.9037 0.0000
3 Au 0.3086 0.3086 0.0000
4 Au 0.5000 0.5000 0.0000
5 Au 0.6914 0.6914 0.0000

=====

# 14
Material: KOs2
Method: DFT, PBE
State: optimized geometry

Calculated values
Energy of formation from the pure elements in eV/atom: 1.2818
Space-group type: Fd-3m
D(E_F) in states/eV/f.u.: 3.910
Final energy in eV per atom: -6.5705

abc: 5.4451 5.4451 5.4451
angles: 60.00 60.00 60.00
Element x y z (fractional)
1 K 0.1250 0.1250 0.1250
2 K 0.8750 0.8750 0.8750
3 Os 0.0000 0.5000 0.5000
4 Os 0.5000 0.0000 0.5000
5 Os 0.5000 0.5000 0.0000
6 Os 0.5000 0.5000 0.5000

=====

# 15
Material: SrReOs
Method: DFT, PBE
State: optimized geometry

Calculated values
Energy of formation from the pure elements in eV/atom: 0.5582
Space-group type: Imm2
D(E_F) in states/eV/f.u.: 2.722
Final energy in eV per atom: -7.8950

abc: 6.2258 6.2258 6.2258
angles: 152.88 143.26 46.26
Element x y z (fractional)
1 Sr 0.0000 0.0000 0.0000
2 Re 0.2816 0.2816 0.0000
3 Os 0.7156 0.7156 0.0000

=====

# 16
Material: Rb2AsCl6
Method: DFT, PBE
State: optimized geometry

Calculated values
Space-group type: P4_2/mnm
D(E_F) in states/eV/f.u.: 4.376
ΔE_f (raw) in eV per formula unit: -10.25
Final energy in eV per atom: -3.1020

abc: 6.9929 6.9929 13.6693
angles: 90.00 90.00 90.00
Element x y z (fractional)
1 Rb 0.0000 0.0000 0.1651
2 Rb 0.0000 0.0000 0.8349
3 Rb 0.5000 0.5000 0.3349
4 Rb 0.5000 0.5000 0.6651
5 As 0.0000 0.0000 0.5000
6 As 0.5000 0.5000 0.0000
7 Cl 0.1706 0.1706 0.3738
8 Cl 0.1706 0.1706 0.6262
9 Cl 0.2432 0.7568 0.5000
10 Cl 0.2568 0.2568 0.0000
11 Cl 0.3294 0.6706 0.1262
12 Cl 0.3294 0.6706 0.8738
13 Cl 0.6706 0.3294 0.1262
14 Cl 0.6706 0.3294 0.8738
15 Cl 0.7432 0.7432 0.0000
16 Cl 0.7568 0.2432 0.5000
17 Cl 0.8294 0.8294 0.3738
18 Cl 0.8294 0.8294 0.6262

=====

# 17
Material: BaMg6Zr
Method: DFT, PBE
State: optimized geometry

Calculated values
Energy of formation from the pure elements in eV/atom: 0.0961
Space-group type: P-6m2
D(E_F) in states/eV/f.u.: 7.286
Final energy in eV per atom: -2.4087

abc: 6.7674 6.7674 5.2354
angles: 90.00 90.00 120.00
Element x y z (fractional)
1 Ba 0.0000 0.0000 0.0000
2 Mg 0.1781 0.3561 0.5000
3 Mg 0.1781 0.8219 0.5000
4 Mg 0.5084 0.0168 0.0000
5 Mg 0.5084 0.4916 0.0000
6 Mg 0.6439 0.8219 0.5000
7 Mg 0.9832 0.4916 0.0000
8 Zr 0.6667 0.3333 0.5000

=====

# 18
Material: Pm2BePd5
Method: DFT, PBE
State: optimized geometry

Calculated values
Energy of formation from the pure elements in eV/atom: -0.7316
Space-group type: I4mm
D(E_F) in states/eV/f.u.: 3.229
Final energy in eV per atom: -5.6306

abc: 5.9968 5.9968 5.9968
angles: 120.38 120.38 89.34
Element x y z (fractional)
1 Pm 0.0000 0.5000 0.5000
2 Pm 0.5000 0.0000 0.5000
3 Be 0.2739 0.2739 0.0000
4 Pd 0.5123 0.5123 0.5270
5 Pd 0.5123 0.9853 0.0000
6 Pd 0.9853 0.5123 0.0000
7 Pd 0.9853 0.9853 0.4730
8 Pd 0.9967 0.9967 0.0000

=====

# 19
Material: TeHI2
Method: DFT, PBE
State: optimized geometry

Calculated values
Space-group type: I-42d
D(E_F) in states/eV/f.u.: 3.919
Final energy in eV per atom: -1.7681

abc: 6.5758 6.5758 6.5758
angles: 110.87 110.87 106.70
Element x y z (fractional)
1 Te 0.0000 0.0000 0.0000
2 Te 0.7500 0.2500 0.5000
3 H 0.2500 0.7500 0.5000
4 H 0.5000 0.5000 0.0000
5 I 0.1968 0.6250 0.0718
6 I 0.3750 0.4468 0.5718
7 I 0.5532 0.1250 0.9282
8 I 0.8750 0.8032 0.4282

=====

# 20
Material: CaZr2Mn2
Method: DFT, PBE
State: optimized geometry

Calculated values
Energy of formation from the pure elements in eV/atom: 0.3272
Space-group type: P4/mbm
D(E_F) in states/eV/f.u.: 7.615
Final energy in eV per atom: -7.1602

abc: 7.7453 7.7453 3.2173
angles: 90.00 90.00 90.00
Element x y z (fractional)
1 Ca 0.0000 0.0000 0.0000
2 Ca 0.5000 0.5000 0.0000
3 Zr 0.1449 0.3551 0.5000
4 Zr 0.3551 0.8551 0.5000
5 Zr 0.6449 0.1449 0.5000
6 Zr 0.8551 0.6449 0.5000
7 Mn 0.1357 0.6357 0.0000
8 Mn 0.3643 0.1357 0.0000
9 Mn 0.6357 0.8643 0.0000
10 Mn 0.8643 0.3643 0.0000

=====

# 21
Material: SmTm4Zn4
Method: DFT, PBE
State: optimized geometry

Calculated values
Energy of formation from the pure elements in eV/atom: -0.1379
Space-group type: I4/m
D(E_F) in states/eV/f.u.: 7.838
Final energy in eV per atom: -3.2158

abc: 7.1127 7.1127 7.1127
angles: 97.19 97.19 138.55
Element x y z (fractional)
1 Sm 0.0000 0.0000 0.0000
2 Tm 0.1070 0.6496 0.7566
3 Tm 0.3504 0.1070 0.4574
4 Tm 0.6496 0.8930 0.5426
5 Tm 0.8930 0.3504 0.2434
6 Zn 0.3162 0.4200 0.7362
7 Zn 0.4200 0.6838 0.1038
8 Zn 0.5800 0.3162 0.8962
9 Zn 0.6838 0.5800 0.2638

=====

# 22
Material: Tl2OsCl
Method: DFT, PBE
State: optimized geometry

Calculated values
Space-group type: I-42d
D(E_F) in states/eV/f.u.: 4.105
ΔE_f (raw) in eV per formula unit: 3.19
Final energy in eV per atom: -3.6544

abc: 8.3217 8.3217 8.3217
angles: 135.80 135.80 64.29
Element x y z (fractional)
1 Tl 0.0618 0.6250 0.9368
2 Tl 0.3750 0.3118 0.4368
3 Tl 0.6882 0.1250 0.0632
4 Tl 0.8750 0.9382 0.5632
5 Os 0.0000 0.0000 0.0000
6 Os 0.7500 0.2500 0.5000
7 Cl 0.2500 0.7500 0.5000
8 Cl 0.5000 0.5000 0.0000

=====

# 23
Material: CaHg2Cl2
Method: DFT, PBE
State: optimized geometry

Calculated values
Space-group type: P4/mbm
D(E_F) in states/eV/f.u.: 0.000
ΔE_f (raw) in eV per formula unit: -6.09
Final energy in eV per atom: -2.4786

abc: 7.1841 7.1841 6.8557
angles: 90.00 90.00 90.00
Element x y z (fractional)
1 Ca 0.0000 0.0000 0.0000
2 Ca 0.5000 0.5000 0.0000
3 Hg 0.1630 0.3370 0.5000
4 Hg 0.3370 0.8370 0.5000
5 Hg 0.6630 0.1630 0.5000
6 Hg 0.8370 0.6630 0.5000
7 Cl 0.1778 0.6778 0.0000
8 Cl 0.3222 0.1778 0.0000
9 Cl 0.6778 0.8222 0.0000
10 Cl 0.8222 0.3222 0.0000